Record 1
Computed, not measured: ThSn2Bi after structural relaxation at the PBE level of DFT.

Properties
- formation energy (eV/atom) = -0.11
- magnetization (μB per formula unit) = 0.00
- D(E_F) (states/eV per cell) = 2.56
- total DFT energy (no corrections) (eV per atom) = -4.9342

abc: 12.036 12.036 12.036
angles: 16.41 16.41 16.41
Fractional positions:
Th  0.000  0.000  0.000
Sn  0.411  0.411  0.411
Sn  0.589  0.589  0.589
Bi  0.500  0.500  0.500

Record 2
Computed, not measured: ThSnBi2 after structural relaxation at the PBE level of DFT.

Properties
- formation energy (eV/atom) = -0.10
- magnetization (μB per formula unit) = 0.00
- D(E_F) (states/eV per cell) = 2.82
- total DFT energy (no corrections) (eV per atom) = -4.8924

abc: 12.352 12.352 12.352
angles: 16.25 16.25 16.25
Fractional positions:
Th  0.000  0.000  0.000
Sn  0.500  0.500  0.500
Bi  0.411  0.411  0.411
Bi  0.589  0.589  0.589

Please write out number 2 again, unchanged.
Computed, not measured: ThSnBi2 after structural relaxation at the PBE level of DFT.

Properties
- formation energy (eV/atom) = -0.10
- magnetization (μB per formula unit) = 0.00
- D(E_F) (states/eV per cell) = 2.82
- total DFT energy (no corrections) (eV per atom) = -4.8924

abc: 12.352 12.352 12.352
angles: 16.25 16.25 16.25
Fractional positions:
Th  0.000  0.000  0.000
Sn  0.500  0.500  0.500
Bi  0.411  0.411  0.411
Bi  0.589  0.589  0.589